! Tb2ErAg GGA-PBE optimized geometry; values from VASP
&SYSTEM
  ibrav = 0, nat = 4, ntyp = 3
/
ATOMIC_SPECIES
Er 167.26 Er.upf
Ag 107.87 Ag.upf
Tb 158.93 Tb.upf
ATOMIC_POSITIONS crystal
Er 0.500 0.500 0.500
Ag 0.500 0.500 0.000
Tb 0.000 0.000 0.782
Tb 0.000 0.000 0.218
CELL_PARAMETERS angstrom
-0.644 2.878 2.002
-3.302 0.187 -1.331
-2.929 -5.200 6.537
! Space group ... P4/mmm
! Polymorph energy (0 for the lowest one) ... 0.007 eV per atom
! Total moment ... 0.000 μB per formula unit
! Energy of formation ... -0.125 eV/atom
! Total energy ... -17.2 eV per cell